This record from the Open Quantum Materials Database describes a relaxed LiSmAs2 crystal. The functional is PBE.

Computed properties:
Crystal system: tetragonal
Total DFT energy (no corrections): -4.99 eV per atom
SG: P4/nmm (129)

Cell and atoms, written as POSCAR:
```
LiSmAs2
1.0
3.935 0.000 0.000
0.000 3.935 0.000
0.000 0.000 10.576
Li Sm As
2 2 4
direct
0.250 0.750 0.000 Li
0.750 0.250 0.000 Li
0.250 0.250 0.271 Sm
0.750 0.750 0.729 Sm
0.250 0.250 0.839 As
0.250 0.750 0.500 As
0.750 0.250 0.500 As
0.750 0.750 0.161 As
```